# Pu5TaRu6

A relaxed structure of Pu5TaRu6 (PBE-GGA, the Alexandria database).

POSCAR file:
```
Pu5TaRu6
1.0
4.368 -0.022 1.456
0.031 6.972 0.010
-0.035 -0.011 7.386
Ru Ta Pu
6 1 5
Cartesian
3.688 5.328 3.577 Ru
3.671 1.600 3.571 Ru
2.191 1.553 0.730 Ru
2.208 5.398 0.736 Ru
0.693 5.339 5.281 Ru
0.677 1.611 5.276 Ru
0.000 0.000 0.000 Ta
2.909 3.464 5.885 Pu
1.448 -0.011 2.935 Pu
0.016 3.486 0.005 Pu
2.885 -0.022 5.907 Pu
1.455 3.475 2.967 Pu
```

Summary:
- N(E_F): 2.3890 states/eV per atom
- E_form: -0.15 eV/atom
- SG: Cmmm (65)

# Ba5Ga2Br2

A relaxed structure of Ba5Ga2Br2 (PBE-GGA, the Alexandria database).

POSCAR file:
```
Ba5Ga2Br2
1.0
-3.958 -2.934 -7.671
4.099 -8.119 0.990
-8.745 -4.324 0.749
Ba Ga Br
10 4 4
Cartesian
0.000 0.000 0.000 Ba
0.070 -5.526 -3.340 Ba
-7.677 -5.870 -2.851 Ba
-6.186 -12.359 -4.694 Ba
-4.947 -9.425 -1.038 Ba
-8.915 -8.803 -6.507 Ba
-0.927 -9.507 -3.081 Ba
-2.418 -3.018 -1.237 Ba
-3.657 -5.951 -4.894 Ba
0.311 -6.573 0.576 Ba
1.071 -3.432 -0.558 Ga
-0.930 -7.621 -6.122 Ga
2.104 -8.245 -2.032 Ga
-1.964 -2.808 -4.648 Ga
-6.026 -3.176 -1.094 Br
-5.955 -8.702 -4.434 Br
-6.677 -4.082 -5.828 Br
-2.649 -6.675 -1.498 Br
```

Summary:
- N(E_F): 0.4183 states/eV per atom
- SG: Cmce (64)
- E_form (uncorrected): -0.88 eV per atom

# Sm4Dy3Sc2

A relaxed structure of Sm4Dy3Sc2 (PBE-GGA, the Alexandria database).

POSCAR file:
```
Sm4Dy3Sc2
1.0
4.982 0.000 0.000
0.000 7.813 0.664
-2.491 -2.967 6.873
Sm Dy Sc
4 3 2
Cartesian
2.491 2.233 0.955 Sm
2.491 3.628 4.263 Sm
0.000 2.614 6.582 Sm
0.000 1.219 3.274 Sm
2.491 0.257 5.536 Dy
0.000 4.590 2.001 Dy
0.000 0.000 0.000 Dy
0.000 -1.957 4.544 Sc
2.491 6.803 2.993 Sc
```

Summary:
- N(E_F): 1.5639 states/eV per atom
- E above lowest polymorph: 0.005 eV per atom
- E_form: 0.04 eV/atom
- SG: C2/m (12)

# Cd4GaHg5

A relaxed structure of Cd4GaHg5 (PBE-GGA, the Alexandria database).

POSCAR file:
```
Cd4GaHg5
1.0
6.803 -0.197 -1.843
-4.026 5.487 -1.843
0.104 0.197 7.047
Cd Ga Hg
4 1 5
Cartesian
-0.500 3.541 -0.859 Cd
2.368 2.804 0.244 Cd
0.047 1.797 3.736 Cd
2.915 1.060 4.838 Cd
0.343 0.653 -0.455 Ga
5.095 1.608 -0.465 Hg
1.970 0.323 2.021 Hg
0.880 5.107 1.381 Hg
-2.244 3.822 3.868 Hg
2.008 3.826 -2.665 Hg
```

Summary:
- N(E_F): 0.3949 states/eV per atom
- E above lowest polymorph: 0.016 eV per atom
- E_form: 0.06 eV/atom
- SG: I4 (79)